The following is a PBE calculation of an optimized crystal structure of LaTa2Au, from Alexandria via LeMat-Bulk.

polymorph energy (0 for the lowest one): 1.14 eV per formula unit
crystal system: tetragonal
Fermi-level density of states: 4.73 states/eV per cell
total magnetic moment: 0.0 μB/cell
DFT formation energy: 0.335 eV/atom
calculated density: 13.8 g/cm³
symmetry: P4/mmm, No. 123

Cell and atoms, written as POSCAR:
```
LaTa2Au
1.0
2.9734 0.0000 0.0000
0.0000 2.9734 0.0000
0.0000 0.0000 9.4990
La Ta Au
1 2 1
Direct
0.0000 0.0000 0.0000 La
0.5000 0.5000 0.2847 Ta
0.5000 0.5000 0.7153 Ta
0.0000 0.0000 0.5000 Au
```

***

The following is a PBE calculation of an optimized crystal structure of LaTaAu3, from Alexandria via LeMat-Bulk.

polymorph energy (0 for the lowest one): 6.45 eV per formula unit
crystal system: cubic
Fermi-level density of states: 8.52 states/eV per cell
total magnetic moment: 0.0 μB/cell
DFT formation energy: 1.402 eV/atom
calculated density: 10.1 g/cm³
symmetry: Pm-3m, No. 221

Cell and atoms, written as POSCAR:
```
LaTaAu3
1.0
5.3048 0.0000 0.0000
0.0000 5.3048 0.0000
0.0000 0.0000 5.3048
La Ta Au
1 1 3
Direct
0.0000 0.0000 0.0000 La
0.5000 0.5000 0.5000 Ta
0.0000 0.0000 0.5000 Au
0.0000 0.5000 0.0000 Au
0.5000 0.0000 0.0000 Au
```

***

The following is a PBE calculation of an optimized crystal structure of LaTaAu, from Alexandria via LeMat-Bulk.

polymorph energy (0 for the lowest one): 1.62 eV per formula unit
crystal system: cubic
Fermi-level density of states: 5.02 states/eV per cell
total magnetic moment: 2.1 μB/cell
DFT formation energy: 0.535 eV/atom
calculated density: 10.4 g/cm³
symmetry: F-43m, No. 216

Cell and atoms, written as POSCAR:
```
LaTaAu
1.0
0.0000 3.4544 3.4544
3.4544 0.0000 3.4544
3.4544 3.4544 0.0000
La Ta Au
1 1 1
Direct
0.0000 0.0000 0.0000 La
0.5000 0.5000 0.5000 Ta
0.7500 0.7500 0.7500 Au
```

***

The following is a PBE calculation of an optimized crystal structure of LaTa2Au, from Alexandria via LeMat-Bulk.

polymorph energy (0 for the lowest one): 1.27 eV per formula unit
crystal system: monoclinic
Fermi-level density of states: 4.44 states/eV per cell
total magnetic moment: 0.0 μB/cell
DFT formation energy: 0.366 eV/atom
calculated density: 13.7 g/cm³
symmetry: C2/m, No. 12

Cell and atoms, written as POSCAR:
```
LaTa2Au
1.0
2.9282 -5.2062 0.0000
2.9282 5.2062 0.0000
-1.2660 0.0000 2.7826
La Ta Au
1 2 1
Direct
0.0000 0.0000 0.0000 La
0.0000 0.5000 0.5000 Ta
0.5000 0.0000 0.5000 Ta
0.5000 0.5000 0.0000 Au
```

***

The following is a PBE calculation of an optimized crystal structure of LaTa2Au, from Alexandria via LeMat-Bulk.

polymorph energy (0 for the lowest one): 1.87 eV per formula unit
crystal system: tetragonal
Fermi-level density of states: 4.15 states/eV per cell
total magnetic moment: 0.0 μB/cell
DFT formation energy: 0.518 eV/atom
calculated density: 14.3 g/cm³
symmetry: P4/mmm, No. 123

Cell and atoms, written as POSCAR:
```
LaTa2Au
1.0
4.8492 0.0000 0.0000
0.0000 4.8492 0.0000
0.0000 0.0000 3.4380
La Ta Au
1 2 1
Direct
0.0000 0.0000 0.0000 La
0.0000 0.5000 0.5000 Ta
0.5000 0.0000 0.5000 Ta
0.5000 0.5000 0.0000 Au
```

***

The following is a PBE calculation of an optimized crystal structure of LaTa2Au, from Alexandria via LeMat-Bulk.

polymorph energy (0 for the lowest one): 0.77 eV per formula unit
crystal system: orthorhombic
Fermi-level density of states: 5.36 states/eV per cell
total magnetic moment: 0.0 μB/cell
DFT formation energy: 0.242 eV/atom
calculated density: 13.2 g/cm³
symmetry: Immm, No. 71

Cell and atoms, written as POSCAR:
```
LaTa2Au
1.0
-1.5451 2.6016 5.4459
1.5451 -2.6016 5.4459
1.5451 2.6016 -5.4459
La Ta Au
1 2 1
Direct
0.0000 0.0000 0.0000 La
0.2719 0.7719 0.5000 Ta
0.7281 0.2281 0.5000 Ta
0.5000 0.5000 0.0000 Au
```

***

The following is a PBE calculation of an optimized crystal structure of LaTa2Au, from Alexandria via LeMat-Bulk.

polymorph energy (0 for the lowest one): 1.31 eV per formula unit
crystal system: orthorhombic
Fermi-level density of states: 4.40 states/eV per cell
total magnetic moment: 0.0 μB/cell
DFT formation energy: 0.377 eV/atom
calculated density: 12.9 g/cm³
symmetry: Pmmm, No. 47

Cell and atoms, written as POSCAR:
```
LaTa2Au
1.0
3.2566 0.0000 0.0000
0.0000 3.8007 0.0000
0.0000 0.0000 7.2311
La Ta Au
1 2 1
Direct
0.0000 0.0000 0.0000 La
0.5000 0.5000 0.3158 Ta
0.5000 0.5000 0.6842 Ta
0.0000 0.0000 0.5000 Au
```

***

The following is a PBE calculation of an optimized crystal structure of LaTaTcAu2, from Alexandria via LeMat-Bulk.

crystal system: tetragonal
Fermi-level density of states: 5.37 states/eV per cell
total magnetic moment: 3.6 μB/cell
DFT formation energy: 1.348 eV/atom
calculated density: 9.5 g/cm³
symmetry: P4/mmm, No. 123

Cell and atoms, written as POSCAR:
```
LaTaTcAu2
1.0
5.0873 0.0000 0.0000
0.0000 5.0873 0.0000
0.0000 0.0000 5.4616
La Ta Tc Au
1 1 1 2
Direct
0.0000 0.0000 0.0000 La
0.0000 0.0000 0.5000 Ta
0.5000 0.5000 0.0000 Tc
0.0000 0.5000 0.5000 Au
0.5000 0.0000 0.5000 Au
```

***

The following is a PBE calculation of an optimized crystal structure of LaZrTaAu2, from Alexandria via LeMat-Bulk.

polymorph energy (0 for the lowest one): 0.00 eV per formula unit
crystal system: tetragonal
Fermi-level density of states: 7.84 states/eV per cell
total magnetic moment: 0.0 μB/cell
DFT formation energy: 1.319 eV/atom
calculated density: 9.5 g/cm³
symmetry: P4/mmm, No. 123

Cell and atoms, written as POSCAR:
```
LaZrTaAu2
1.0
5.0768 0.0000 0.0000
0.0000 5.0768 0.0000
0.0000 0.0000 5.4542
La Zr Ta Au
1 1 1 2
Direct
0.0000 0.0000 0.0000 La
0.0000 0.0000 0.5000 Zr
0.5000 0.5000 0.0000 Ta
0.0000 0.5000 0.5000 Au
0.5000 0.0000 0.5000 Au
```

***

The following is a PBE calculation of an optimized crystal structure of LaZrTaAu2, from Alexandria via LeMat-Bulk.

polymorph energy (0 for the lowest one): 0.44 eV per formula unit
crystal system: tetragonal
Fermi-level density of states: 4.41 states/eV per cell
total magnetic moment: 0.3 μB/cell
DFT formation energy: 1.406 eV/atom
calculated density: 9.2 g/cm³
symmetry: P4/mmm, No. 123

Cell and atoms, written as POSCAR:
```
LaZrTaAu2
1.0
5.2632 0.0000 0.0000
0.0000 5.2632 0.0000
0.0000 0.0000 5.2426
La Zr Ta Au
1 1 1 2
Direct
0.0000 0.0000 0.0000 La
0.5000 0.5000 0.5000 Zr
0.0000 0.0000 0.5000 Ta
0.0000 0.5000 0.0000 Au
0.5000 0.0000 0.0000 Au
```

***

The following is a PBE calculation of an optimized crystal structure of La3TbAu7, from Alexandria via LeMat-Bulk.

crystal system: orthorhombic
Fermi-level density of states: 14.32 states/eV per cell
total magnetic moment: 0.0 μB/cell
DFT formation energy: -0.743 eV/atom
calculated density: 11.5 g/cm³
symmetry: Cmcm, No. 63

Cell and atoms, written as POSCAR:
```
La3TbAu7
1.0
1.9410 -10.8945 0.0000
1.9410 10.8945 0.0000
0.0000 0.0000 13.3516
La Tb Au
6 2 14
Direct
0.1330 0.8670 0.5504 La
0.1330 0.8670 0.9496 La
0.2084 0.7916 0.2500 La
0.7916 0.2084 0.7500 La
0.8670 0.1330 0.0504 La
0.8670 0.1330 0.4496 La
0.0082 0.9918 0.2500 Tb
0.9918 0.0082 0.7500 Tb
0.2757 0.7243 0.5667 Au
0.2757 0.7243 0.9333 Au
0.3809 0.6191 0.2500 Au
0.3970 0.6030 0.6424 Au
0.3970 0.6030 0.8576 Au
0.4747 0.5253 0.0915 Au
0.4747 0.5253 0.4085 Au
0.5253 0.4747 0.5915 Au
0.5253 0.4747 0.9085 Au
0.6030 0.3970 0.1424 Au
0.6030 0.3970 0.3576 Au
0.6191 0.3809 0.7500 Au
0.7243 0.2757 0.0667 Au
0.7243 0.2757 0.4333 Au
```

***

The following is a PBE calculation of an optimized crystal structure of LaTbAu4, from Alexandria via LeMat-Bulk.

polymorph energy (0 for the lowest one): 1.07 eV per formula unit
crystal system: monoclinic
Fermi-level density of states: 3.31 states/eV per cell
total magnetic moment: 0.0 μB/cell
DFT formation energy: -0.625 eV/atom
calculated density: 11.3 g/cm³
symmetry: P2/m, No. 10

Cell and atoms, written as POSCAR:
```
LaTbAu4
1.0
5.5612 0.0000 0.0000
0.0000 4.3305 0.0000
-2.3592 0.0000 6.6281
La Tb Au
1 1 4
Direct
0.0000 0.0000 0.0000 La
0.5000 0.5000 0.5000 Tb
0.0665 0.5000 0.7129 Au
0.4291 0.0000 0.7694 Au
0.5709 0.0000 0.2306 Au
0.9335 0.5000 0.2871 Au
```

***

The following is a PBE calculation of an optimized crystal structure of La3TbAu2, from Alexandria via LeMat-Bulk.

crystal system: orthorhombic
Fermi-level density of states: 11.49 states/eV per cell
total magnetic moment: 0.0 μB/cell
DFT formation energy: -0.561 eV/atom
calculated density: 9.0 g/cm³
symmetry: Pmc2_1, No. 26

Cell and atoms, written as POSCAR:
```
La3TbAu2
1.0
5.1750 0.0000 0.0000
0.0000 9.4811 0.0000
0.0000 0.0000 7.2531
La Tb Au
6 2 4
Direct
0.0000 0.0765 0.0000 La
0.0000 0.3379 0.3485 La
0.0000 0.6621 0.8485 La
0.0000 0.9235 0.5000 La
0.5000 0.1644 0.6585 La
0.5000 0.8356 0.1585 La
0.5000 0.4278 0.0080 Tb
0.5000 0.5722 0.5080 Tb
0.0000 0.3514 0.7760 Au
0.0000 0.6486 0.2760 Au
0.5000 0.1612 0.2331 Au
0.5000 0.8388 0.7331 Au
```

***

The following is a PBE calculation of an optimized crystal structure of LaTb2Au, from Alexandria via LeMat-Bulk.

polymorph energy (0 for the lowest one): 0.00 eV per formula unit
crystal system: orthorhombic
Fermi-level density of states: 19.61 states/eV per cell
total magnetic moment: 0.0 μB/cell
DFT formation energy: -0.422 eV/atom
calculated density: 9.0 g/cm³
symmetry: Pnma, No. 62

Cell and atoms, written as POSCAR:
```
LaTb2Au
1.0
7.0666 0.0000 0.0000
0.0000 10.1705 0.0000
0.0000 0.0000 6.7193
La Tb Au
4 8 4
Direct
0.0020 0.2500 0.1310 La
0.4980 0.7500 0.6310 La
0.5020 0.2500 0.3690 La
0.9980 0.7500 0.8690 La
0.1828 0.0522 0.6750 Tb
0.1828 0.4478 0.6750 Tb
0.3172 0.5522 0.1750 Tb
0.3172 0.9478 0.1750 Tb
0.6828 0.0522 0.8250 Tb
0.6828 0.4478 0.8250 Tb
0.8172 0.5522 0.3250 Tb
0.8172 0.9478 0.3250 Tb
0.1096 0.7500 0.4219 Au
0.3904 0.2500 0.9219 Au
0.6096 0.7500 0.0781 Au
0.8904 0.2500 0.5781 Au
```

***

The following is a PBE calculation of an optimized crystal structure of La2TbAu2, from Alexandria via LeMat-Bulk.

crystal system: tetragonal
Fermi-level density of states: 10.95 states/eV per cell
total magnetic moment: 0.0 μB/cell
DFT formation energy: -0.663 eV/atom
calculated density: 9.7 g/cm³
symmetry: P4/mbm, No. 127

Cell and atoms, written as POSCAR:
```
La2TbAu2
1.0
8.4257 0.0000 0.0000
0.0000 8.4257 0.0000
0.0000 0.0000 4.0014
La Tb Au
4 2 4
Direct
0.1667 0.3333 0.0000 La
0.3333 0.8333 0.0000 La
0.6667 0.1667 0.0000 La
0.8333 0.6667 0.0000 La
0.0000 0.0000 0.5000 Tb
0.5000 0.5000 0.5000 Tb
0.1310 0.6310 0.5000 Au
0.3690 0.1310 0.5000 Au
0.6310 0.8690 0.5000 Au
0.8690 0.3690 0.5000 Au
```

***

The following is a PBE calculation of an optimized crystal structure of LaTb3Au4, from Alexandria via LeMat-Bulk.

crystal system: tetragonal
Fermi-level density of states: 5.30 states/eV per cell
total magnetic moment: 0.0 μB/cell
DFT formation energy: -0.821 eV/atom
calculated density: 11.9 g/cm³
symmetry: P4/mmm, No. 123

Cell and atoms, written as POSCAR:
```
LaTb3Au4
1.0
5.1641 0.0000 0.0000
0.0000 5.1641 0.0000
0.0000 0.0000 7.3416
La Tb Au
1 3 4
Direct
0.0000 0.0000 0.0000 La
0.0000 0.0000 0.5000 Tb
0.5000 0.5000 0.0000 Tb
0.5000 0.5000 0.5000 Tb
0.0000 0.5000 0.2646 Au
0.0000 0.5000 0.7354 Au
0.5000 0.0000 0.2646 Au
0.5000 0.0000 0.7354 Au
```

***

The following is a PBE calculation of an optimized crystal structure of La2Tb3Au4, from Alexandria via LeMat-Bulk.

crystal system: monoclinic
Fermi-level density of states: 17.77 states/eV per cell
total magnetic moment: 0.0 μB/cell
DFT formation energy: -0.753 eV/atom
calculated density: 10.6 g/cm³
symmetry: P2_1/c, No. 14

Cell and atoms, written as POSCAR:
```
La2Tb3Au4
1.0
8.8218 0.0000 0.0000
0.0000 7.7506 0.0000
-2.6378 0.0000 7.0543
La Tb Au
4 6 8
Direct
0.1872 0.1777 0.0516 La
0.1872 0.3223 0.5516 La
0.8128 0.6777 0.4484 La
0.8128 0.8223 0.9484 La
0.2439 0.6668 0.2361 Tb
0.2439 0.8332 0.7361 Tb
0.5000 0.0000 0.5000 Tb
0.5000 0.5000 0.0000 Tb
0.7561 0.1668 0.2639 Tb
0.7561 0.3332 0.7639 Tb
0.0727 0.5383 0.8417 Au
0.0727 0.9617 0.3417 Au
0.4950 0.1373 0.8667 Au
0.4950 0.3627 0.3667 Au
0.5050 0.6373 0.6333 Au
0.5050 0.8627 0.1333 Au
0.9273 0.0383 0.6583 Au
0.9273 0.4617 0.1583 Au
```

***

The following is a PBE calculation of an optimized crystal structure of LaTb5Au6, from Alexandria via LeMat-Bulk.

crystal system: monoclinic
Fermi-level density of states: 6.49 states/eV per cell
total magnetic moment: 0.0 μB/cell
DFT formation energy: -0.832 eV/atom
calculated density: 12.1 g/cm³
symmetry: P2/m, No. 10

Cell and atoms, written as POSCAR:
```
LaTb5Au6
1.0
5.1547 0.0000 0.0000
0.0000 7.2476 0.0000
-2.5487 0.0000 7.7864
La Tb Au
1 5 6
Direct
0.0000 0.0000 0.0000 La
0.0000 0.5000 0.0000 Tb
0.3310 0.0000 0.6638 Tb
0.3335 0.5000 0.6693 Tb
0.6665 0.5000 0.3307 Tb
0.6690 0.0000 0.3362 Tb
0.1746 0.2547 0.3449 Au
0.1746 0.7453 0.3449 Au
0.5000 0.2645 0.0000 Au
0.5000 0.7355 0.0000 Au
0.8254 0.2547 0.6551 Au
0.8254 0.7453 0.6551 Au
```

***

The following is a PBE calculation of an optimized crystal structure of LaTb2Au4, from Alexandria via LeMat-Bulk.

crystal system: tetragonal
Fermi-level density of states: 5.59 states/eV per cell
total magnetic moment: 0.0 μB/cell
DFT formation energy: -0.603 eV/atom
calculated density: 11.3 g/cm³
symmetry: P4/mmm, No. 123

Cell and atoms, written as POSCAR:
```
LaTb2Au4
1.0
5.1356 0.0000 0.0000
0.0000 5.1356 0.0000
0.0000 0.0000 6.9512
La Tb Au
1 2 4
Direct
0.0000 0.0000 0.0000 La
0.0000 0.0000 0.5000 Tb
0.5000 0.5000 0.0000 Tb
0.0000 0.5000 0.2596 Au
0.0000 0.5000 0.7404 Au
0.5000 0.0000 0.2596 Au
0.5000 0.0000 0.7404 Au
```

***

The following is a PBE calculation of an optimized crystal structure of LaTbAu, from Alexandria via LeMat-Bulk.

polymorph energy (0 for the lowest one): 0.04 eV per formula unit
crystal system: tetragonal
Fermi-level density of states: 5.91 states/eV per cell
total magnetic moment: 0.0 μB/cell
DFT formation energy: -0.569 eV/atom
calculated density: 9.1 g/cm³
symmetry: P4/nmm, No. 129

Cell and atoms, written as POSCAR:
```
LaTbAu
1.0
4.9257 0.0000 0.0000
0.0000 4.9257 0.0000
0.0000 0.0000 7.4032
La Tb Au
2 2 2
Direct
0.2500 0.2500 0.1192 La
0.7500 0.7500 0.8808 La
0.2500 0.7500 0.5000 Tb
0.7500 0.2500 0.5000 Tb
0.2500 0.2500 0.7221 Au
0.7500 0.7500 0.2779 Au
```